Entry 1:
The following is a PBE-GGA calculation of a relaxed structure of NiWN, from the Alexandria database.

Computed properties:
D(E_F), states/eV per cell: 2.5
Formation energy from raw total energies, meV per atom: 223

Unit cell a=3.419 b=3.419 c=3.597 alpha=90.00 beta=90.00 gamma=120.00
Fractional coordinates of all 3 atoms:
Ni 0.000 0.000 0.000
W 0.667 0.333 0.500
N 0.333 0.667 0.500


Entry 2:
The following is a PBE-GGA calculation of a relaxed structure of Ni2W3N, from the Alexandria database.

Computed properties:
D(E_F), states/eV per cell: 17.9
Formation energy from raw total energies, meV per atom: -193

Unit cell a=6.679 b=6.679 c=6.679 alpha=90.00 beta=90.00 gamma=90.00
Fractional coordinates of all 24 atoms:
Ni 0.066 0.066 0.066
Ni 0.184 0.816 0.316
Ni 0.316 0.184 0.816
Ni 0.434 0.934 0.566
Ni 0.566 0.434 0.934
Ni 0.684 0.684 0.684
Ni 0.816 0.316 0.184
Ni 0.934 0.566 0.434
W 0.050 0.875 0.700
W 0.125 0.200 0.450
W 0.200 0.450 0.125
W 0.300 0.550 0.625
W 0.375 0.800 0.950
W 0.450 0.125 0.200
W 0.550 0.625 0.300
W 0.625 0.300 0.550
W 0.700 0.050 0.875
W 0.800 0.950 0.375
W 0.875 0.700 0.050
W 0.950 0.375 0.800
N 0.125 0.625 0.875
N 0.375 0.375 0.375
N 0.625 0.875 0.125
N 0.875 0.125 0.625


Entry 3:
The following is a PBE-GGA calculation of a relaxed structure of NiW3N, from the Alexandria database.

Computed properties:
D(E_F), states/eV per cell: 12.6
Formation energy from raw total energies, meV per atom: 7

Unit cell a=6.207 b=7.935 c=5.236 alpha=90.00 beta=90.00 gamma=90.00
Fractional coordinates of all 20 atoms:
Ni 0.110 0.250 0.056
Ni 0.390 0.750 0.556
Ni 0.610 0.250 0.444
Ni 0.890 0.750 0.944
W 0.014 0.750 0.384
W 0.190 0.551 0.853
W 0.190 0.949 0.853
W 0.310 0.051 0.353
W 0.310 0.449 0.353
W 0.486 0.250 0.884
W 0.514 0.750 0.116
W 0.690 0.551 0.647
W 0.690 0.949 0.647
W 0.810 0.051 0.147
W 0.810 0.449 0.147
W 0.986 0.250 0.616
N 0.000 0.000 0.500
N 0.000 0.500 0.500
N 0.500 0.000 0.000
N 0.500 0.500 0.000


Entry 4:
The following is a PBE-GGA calculation of a relaxed structure of NiWN, from the Alexandria database.

Computed properties:
D(E_F), states/eV per cell: 2.2
Formation energy from raw total energies, meV per atom: 196

Unit cell a=4.985 b=4.985 c=4.985 alpha=147.98 beta=147.98 gamma=45.92
Fractional coordinates of all 3 atoms:
Ni 0.000 0.000 0.000
W 0.298 0.298 0.000
N 0.711 0.711 0.000


formation energy from raw total energies of number 1 (NiWN)?
223 meV per atom


The highest D(E_F) belongs to which entry?
Ni2W3N


Which of these has the lowest formation energy from raw total energies?
Ni2W3N


Please write out number 3 again, unchanged.
The following is a PBE-GGA calculation of a relaxed structure of NiW3N, from the Alexandria database.

Computed properties:
D(E_F), states/eV per cell: 12.6
Formation energy from raw total energies, meV per atom: 7

Unit cell a=6.207 b=7.935 c=5.236 alpha=90.00 beta=90.00 gamma=90.00
Fractional coordinates of all 20 atoms:
Ni 0.110 0.250 0.056
Ni 0.390 0.750 0.556
Ni 0.610 0.250 0.444
Ni 0.890 0.750 0.944
W 0.014 0.750 0.384
W 0.190 0.551 0.853
W 0.190 0.949 0.853
W 0.310 0.051 0.353
W 0.310 0.449 0.353
W 0.486 0.250 0.884
W 0.514 0.750 0.116
W 0.690 0.551 0.647
W 0.690 0.949 0.647
W 0.810 0.051 0.147
W 0.810 0.449 0.147
W 0.986 0.250 0.616
N 0.000 0.000 0.500
N 0.000 0.500 0.500
N 0.500 0.000 0.000
N 0.500 0.500 0.000